# MnZnTeBr2

A relaxed MnZnTeBr2 crystal (PBE, the Alexandria database).

Cell: 5.8078 5.8078 5.4280 Å, 90.00 90.00 90.00°
With the nearest neighbours (Å) after each atom.
Positions (direct):
Mn 0.0000 0.0000 0.0000  8 Br 3.97, 4 Zn 4.11
Zn 0.5000 0.5000 0.0000  2 Te 2.71
Te 0.5000 0.5000 0.5000  2 Zn 2.71, 4 Br 2.90
Br 0.0000 0.5000 0.5000  2 Te 2.90
Br 0.5000 0.0000 0.5000  2 Te 2.90

The magnetization is 5.5 Bohr magnetons per cell. Its total energy is -2.868 eV/atom. The calculation puts the uncorrected formation energy at 0.52 eV per atom.

# LaPm4Dy3S8

A relaxed LaPm4Dy3S8 crystal (PBE, the Alexandria database).

Cell: 8.0157 8.0157 8.0157 Å, 59.87 59.87 59.87°
With the nearest neighbours (Å) after each atom.
Positions (direct):
La 0.0000 0.0000 0.0000  6 S 2.86
Pm 0.0000 0.0000 0.5000  6 S 2.88
Pm 0.0000 0.5000 0.0000  6 S 2.88
Pm 0.5000 0.0000 0.0000  6 S 2.88
Pm 0.5000 0.5000 0.5000  6 S 2.81
Dy 0.0000 0.5000 0.5000  6 S 2.78
Dy 0.5000 0.0000 0.5000  6 S 2.78
Dy 0.5000 0.5000 0.0000  6 S 2.78
S 0.2524 0.2524 0.7386  2 Dy 2.78, 3 Pm 2.81-2.88, 1 La 2.86
S 0.2524 0.7386 0.2524  2 Dy 2.78, 3 Pm 2.81-2.88, 1 La 2.86
S 0.2543 0.2543 0.2543  3 Dy 2.78, 3 Pm 2.88
S 0.2614 0.7476 0.7476  2 Dy 2.78, 3 Pm 2.81-2.88, 1 La 2.86
S 0.7386 0.2524 0.2524  2 Dy 2.78, 3 Pm 2.81-2.88, 1 La 2.86
S 0.7457 0.7457 0.7457  3 Dy 2.78, 3 Pm 2.88
S 0.7476 0.2614 0.7476  2 Dy 2.78, 3 Pm 2.81-2.88, 1 La 2.86
S 0.7476 0.7476 0.2614  2 Dy 2.78, 3 Pm 2.81-2.88, 1 La 2.86

The magnetization is 0.0 Bohr magnetons per cell. Its total energy is -6.449 eV/atom. The calculation puts the uncorrected formation energy at -2.03 eV per atom.

# Pm2Pr2Al

A relaxed Pm2Pr2Al crystal (PBE, the Alexandria database).

Cell: 9.6337 9.6337 9.6337 Å, 153.88 153.88 37.28°
With the nearest neighbours (Å) after each atom.
Positions (direct):
Pm 0.2500 0.7500 0.5000  4 Pm 3.08
Pm 0.7500 0.2500 0.5000  4 Pm 3.08
Pr 0.0837 0.0837 0.0000  1 Pr 3.06
Pr 0.9163 0.9163 0.0000  1 Pr 3.06
Al 0.5000 0.5000 0.0000  8 Pr 3.44

For the formation energy, the calculation gives 35.4 kJ per mole of atoms. The magnetization is 0.0 Bohr magnetons per cell. Its energy above the most stable polymorph in this dataset is 11.33 kcal/mol of atoms. Its total energy is -4.194 eV/atom.

# SrBi2Rh

A relaxed SrBi2Rh crystal (PBE, the Alexandria database).

Cell: 10.7234 10.7234 10.7234 Å, 153.41 124.68 62.41°
With the nearest neighbours (Å) after each atom.
Positions (direct):
Sr 0.2070 0.2070 0.0000  8 Bi 3.34-3.44, 6 Rh 3.60-3.66
Sr 0.2394 0.0000 0.2394  4 Rh 3.70, 10 Bi 3.76-3.90
Sr 0.7606 0.0000 0.7606  4 Rh 3.70, 10 Bi 3.76-3.90
Sr 0.7930 0.7930 0.0000  8 Bi 3.34-3.44, 6 Rh 3.60-3.66
Bi 0.0840 0.5840 0.5000  2 Rh 2.78, 1 Bi 3.08
Bi 0.1371 0.8019 0.3353  3 Rh 2.75-2.90
Bi 0.4157 0.4157 0.0000  2 Rh 2.76, 1 Bi 3.09
Bi 0.4666 0.8019 0.6647  3 Rh 2.75-2.90
Bi 0.5334 0.1981 0.3353  3 Rh 2.75-2.90
Bi 0.5843 0.5843 0.0000  2 Rh 2.76, 1 Bi 3.09
Bi 0.8629 0.1981 0.6647  3 Rh 2.75-2.90
Bi 0.9160 0.4160 0.5000  2 Rh 2.78, 1 Bi 3.08
Rh 0.1001 0.3494 0.7507  5 Bi 2.75-2.90
Rh 0.4013 0.6506 0.7507  5 Bi 2.75-2.90
Rh 0.5987 0.3494 0.2493  5 Bi 2.75-2.90
Rh 0.8999 0.6506 0.2493  5 Bi 2.75-2.90

For the formation energy, the calculation gives -48.6 kJ per mole of atoms. The magnetization is 0.0 Bohr magnetons per cell. Its total energy is -4.703 eV/atom.

# DyZrZn4

A relaxed DyZrZn4 crystal (PBE, the Alexandria database).

Cell: 5.3476 5.3476 5.3476 Å, 60.00 60.00 60.00°
With the nearest neighbours (Å) after each atom.
Positions (direct):
Dy 0.0000 0.0000 0.0000  12 Zn 3.14, 4 Zr 3.27
Zr 0.7500 0.7500 0.7500  12 Zn 3.13, 4 Dy 3.27
Zn 0.3757 0.3757 0.3757  6 Zn 2.66-2.69
Zn 0.3757 0.3757 0.8728  6 Zn 2.66-2.69
Zn 0.3757 0.8728 0.3757  6 Zn 2.66-2.69
Zn 0.8728 0.3757 0.3757  6 Zn 2.66-2.69

For the formation energy, the calculation gives -25.8 kJ per mole of atoms. The magnetization is 1.1 Bohr magnetons per cell. Its energy above the most stable polymorph in this dataset is 1.17 kcal/mol of atoms. Its total energy is -3.308 eV/atom.

# ZnCrHg2

A relaxed ZnCrHg2 crystal (PBE, the Alexandria database).

Cell: 9.3904 9.3904 9.3904 Å, 19.50 19.50 19.50°
With the nearest neighbours (Å) after each atom.
Positions (direct):
Zn 0.0000 0.0000 0.0000  3 Cr 2.66, 3 Hg 2.94
Cr 0.7363 0.7363 0.7363  3 Zn 2.66, 3 Hg 2.91
Hg 0.2501 0.2501 0.2501  3 Zn 2.94, 9 Hg 3.18-3.29
Hg 0.4848 0.4848 0.4848  3 Cr 2.91, 6 Hg 3.18

For the formation energy, the calculation gives 35.1 kJ per mole of atoms. The magnetization is 3.8 Bohr magnetons per cell. Its energy above the most stable polymorph in this dataset is 1.69 kcal/mol of atoms. Its total energy is -2.512 eV/atom.

Question: What is the magnetization in the fourth record?
Answer: 0.0 Bohr magnetons per cell

Question: Which value of magnetization does entry 3 give?
Answer: 0.0 Bohr magnetons per cell